No. 1
MgCrPt after structural relaxation, computed with PBE.

Properties
- magnetization (μB per formula unit) = 0.00
- calculated total energy (eV per atom) = -6.044

abc: 2.9771 2.9745 10.0821
angles: 90.00 91.46 90.00
Last column: nearest neighbours and their distance in Å.
Fractional positions:
Mg (0.0000, 0.0000, 0.0000)  4 Pt 2.70-2.71, 4 Cr 2.85-2.86, 4 Mg 2.97-2.98
Mg (0.0270, 0.0000, 0.3458)  8 Pt 2.76-2.79, 4 Mg 2.97-2.98
Cr (0.0801, 0.0000, 0.6981)  2 Cr 2.19
Cr (0.4802, 0.5000, 0.8092)  2 Cr 2.19
Pt (0.5141, 0.5000, 0.1687)  8 Mg 2.70-2.76, 4 Pt 2.97-2.98
Pt (0.5339, 0.5000, 0.5260)  5 Cr 2.68-2.86, 4 Mg 2.77-2.79, 4 Pt 2.97-2.98



No. 2
MgCrPt after structural relaxation, computed with PBE.

Properties
- magnetization (μB per formula unit) = 3.78
- calculated total energy (eV per atom) = -5.910

abc: 4.9441 4.9441 4.9441
angles: 145.73 133.86 58.71
Last column: nearest neighbours and their distance in Å.
Fractional positions:
Mg (0.0000, 0.0000, 0.0000)  5 Cr 2.74-2.89, 5 Pt 2.83-2.86, 2 Mg 2.91
Cr (0.3176, 0.3176, 0.0000)  5 Mg 2.74-2.89, 5 Pt 2.74-3.02, 2 Cr 2.91
Pt (0.6685, 0.6685, 0.0000)  5 Cr 2.74-3.02, 5 Mg 2.83-2.86, 2 Pt 2.91



No. 3
Mg2CrPt9 after structural relaxation, computed with PBE.

Properties
- magnetization (μB per formula unit) = 1.71
- calculated total energy (eV per atom) = -6.094

abc: 3.9386 3.9386 11.8585
angles: 90.00 90.00 90.00
Last column: nearest neighbours and their distance in Å.
Fractional positions:
Mg (0.0000, 0.0000, 0.1664)  12 Pt 2.79-2.83
Mg (0.0000, 0.0000, 0.8336)  12 Pt 2.79-2.83
Cr (0.0000, 0.0000, 0.5000)  12 Pt 2.75-2.78
Pt (0.0000, 0.5000, 0.0000)  8 Pt 2.78-2.81, 4 Mg 2.79
Pt (0.0000, 0.5000, 0.3383)  2 Cr 2.75, 8 Pt 2.75-2.82, 2 Mg 2.83
Pt (0.0000, 0.5000, 0.6617)  8 Pt 2.75-2.82, 2 Cr 2.75, 2 Mg 2.83
Pt (0.5000, 0.0000, 0.0000)  8 Pt 2.78-2.81, 4 Mg 2.79
Pt (0.5000, 0.0000, 0.3383)  2 Cr 2.75, 8 Pt 2.75-2.82, 2 Mg 2.83
Pt (0.5000, 0.0000, 0.6617)  8 Pt 2.75-2.82, 2 Cr 2.75, 2 Mg 2.83
Pt (0.5000, 0.5000, 0.1686)  4 Mg 2.79, 8 Pt 2.81-2.82
Pt (0.5000, 0.5000, 0.5000)  8 Pt 2.75, 4 Cr 2.78
Pt (0.5000, 0.5000, 0.8314)  4 Mg 2.79, 8 Pt 2.81-2.82



No. 4
Mg2CrPt after structural relaxation, computed with PBE.

Properties
- magnetization (μB per formula unit) = 4.13
- calculated total energy (eV per atom) = -4.859

abc: 4.8312 4.8312 3.0074
angles: 90.00 90.00 105.48
Last column: nearest neighbours and their distance in Å.
Fractional positions:
Mg (0.0000, 0.5000, 0.0000)  4 Cr 2.85, 4 Pt 2.85, 4 Mg 2.93-3.01
Mg (0.5000, 0.0000, 0.0000)  4 Cr 2.85, 4 Pt 2.85, 4 Mg 2.93-3.01
Cr (0.0000, 0.0000, 0.5000)  8 Mg 2.85, 2 Pt 2.93, 2 Cr 3.01
Pt (0.5000, 0.5000, 0.5000)  8 Mg 2.85, 2 Cr 2.93, 2 Pt 3.01



No. 5
MgCr4Pt after structural relaxation, computed with PBE.

Properties
- magnetization (μB per formula unit) = 0.00
- calculated total energy (eV per atom) = -7.589

abc: 4.8284 4.8284 4.8284
angles: 60.00 60.00 60.00
Last column: nearest neighbours and their distance in Å.
Fractional positions:
Mg (0.0000, 0.0000, 0.0000)  12 Cr 2.83, 4 Pt 2.96
Cr (0.3721, 0.3721, 0.3721)  6 Cr 2.36-2.47
Cr (0.3721, 0.3721, 0.8836)  6 Cr 2.36-2.47
Cr (0.3721, 0.8836, 0.3721)  6 Cr 2.36-2.47
Cr (0.8836, 0.3721, 0.3721)  6 Cr 2.36-2.47
Pt (0.7500, 0.7500, 0.7500)  12 Cr 2.84, 4 Mg 2.96



No. 6
MgCrPt after structural relaxation, computed with PBE.

Properties
- magnetization (μB per formula unit) = 3.39
- calculated total energy (eV per atom) = -5.985

abc: 4.4621 4.4621 5.6803
angles: 90.00 90.00 120.00
Last column: nearest neighbours and their distance in Å.
Fractional positions:
Mg (0.0000, 0.0000, 0.0000)  2 Mg 2.84, 6 Cr 2.94, 6 Pt 2.94
Mg (0.0000, 0.0000, 0.5000)  2 Mg 2.84, 6 Cr 2.94, 6 Pt 2.94
Cr (0.3333, 0.6667, 0.2500)  5 Pt 2.58-2.84
Cr (0.6667, 0.3333, 0.7500)  5 Pt 2.58-2.84
Pt (0.3333, 0.6667, 0.7500)  5 Cr 2.58-2.84
Pt (0.6667, 0.3333, 0.2500)  5 Cr 2.58-2.84



No. 7
MgCrPt2 after structural relaxation, computed with PBE.

Properties
- magnetization (μB per formula unit) = 3.60
- calculated total energy (eV per atom) = -6.328

abc: 4.6263 4.6263 2.9264
angles: 90.00 90.00 101.32
Last column: nearest neighbours and their distance in Å.
Fractional positions:
Mg (0.0000, 0.0000, 0.0000)  8 Pt 2.74, 2 Mg 2.93, 2 Cr 2.93
Cr (0.5000, 0.5000, 0.0000)  8 Pt 2.74, 2 Cr 2.93, 2 Mg 2.93
Pt (0.0000, 0.5000, 0.5000)  4 Cr 2.74, 4 Mg 2.74, 4 Pt 2.93
Pt (0.5000, 0.0000, 0.5000)  4 Cr 2.74, 4 Mg 2.74, 4 Pt 2.93



No. 8
MgCrPt after structural relaxation, computed with PBE.

Properties
- magnetization (μB per formula unit) = 0.00
- calculated total energy (eV per atom) = -6.074

abc: 7.8406 2.8869 8.1715
angles: 90.00 90.00 90.00
Last column: nearest neighbours and their distance in Å.
Fractional positions:
Mg (0.0703, 0.2500, 0.1590)  5 Pt 2.69-2.76, 2 Mg 2.89
Mg (0.4297, 0.7500, 0.6590)  5 Pt 2.69-2.76, 2 Mg 2.89
Mg (0.5703, 0.2500, 0.3410)  5 Pt 2.69-2.76, 2 Mg 2.89
Mg (0.9297, 0.7500, 0.8410)  5 Pt 2.69-2.76, 2 Mg 2.89
Cr (0.0874, 0.2500, 0.5526)  2 Cr 2.17
Cr (0.4126, 0.7500, 0.0526)  2 Cr 2.17
Cr (0.5874, 0.2500, 0.9474)  2 Cr 2.17
Cr (0.9126, 0.7500, 0.4474)  2 Cr 2.17
Pt (0.2250, 0.2500, 0.8553)  3 Cr 2.62-2.70, 5 Mg 2.69-2.76, 2 Pt 2.89
Pt (0.2750, 0.7500, 0.3553)  3 Cr 2.62-2.70, 5 Mg 2.69-2.76, 2 Pt 2.89
Pt (0.7250, 0.2500, 0.6447)  3 Cr 2.62-2.70, 5 Mg 2.69-2.76, 2 Pt 2.89
Pt (0.7750, 0.7500, 0.1447)  3 Cr 2.62-2.70, 5 Mg 2.69-2.76, 2 Pt 2.89



No. 9
MgCrPt2 after structural relaxation, computed with PBE.

Properties
- magnetization (μB per formula unit) = 0.00
- calculated total energy (eV per atom) = -5.910

abc: 4.3911 4.3911 4.3911
angles: 60.00 60.00 60.00
Last column: nearest neighbours and their distance in Å.
Fractional positions:
Mg (0.0000, 0.0000, 0.0000)  4 Cr 2.69, 4 Pt 2.69
Cr (0.2500, 0.2500, 0.2500)  4 Pt 2.69, 4 Mg 2.69
Pt (0.5000, 0.5000, 0.5000)  4 Pt 2.69, 4 Cr 2.69
Pt (0.7500, 0.7500, 0.7500)  4 Pt 2.69, 4 Mg 2.69



No. 10
Mg2CrPt after structural relaxation, computed with PBE.

Properties
- magnetization (μB per formula unit) = 3.09
- calculated total energy (eV per atom) = -4.686

abc: 9.2264 9.2264 9.2264
angles: 18.30 18.30 18.30
Last column: nearest neighbours and their distance in Å.
Fractional positions:
Mg (0.2469, 0.2469, 0.2469)  3 Pt 2.76, 3 Cr 2.90, 6 Mg 2.93
Mg (0.7531, 0.7531, 0.7531)  3 Pt 2.76, 3 Cr 2.90, 6 Mg 2.93
Cr (0.0000, 0.0000, 0.0000)  6 Mg 2.90, 6 Cr 2.93
Pt (0.5000, 0.5000, 0.5000)  6 Mg 2.76, 6 Pt 2.93



No. 11
MgCrPt6 after structural relaxation, computed with PBE.

Properties
- magnetization (μB per formula unit) = 1.85
- calculated total energy (eV per atom) = -6.372

abc: 3.9317 3.9317 7.8877
angles: 90.00 90.00 90.00
Last column: nearest neighbours and their distance in Å.
Fractional positions:
Mg (0.0000, 0.0000, 0.0000)  12 Pt 2.78-2.82
Cr (0.0000, 0.0000, 0.5000)  12 Pt 2.75-2.78
Pt (0.0000, 0.5000, 0.2564)  2 Cr 2.75, 8 Pt 2.75-2.82, 2 Mg 2.82
Pt (0.0000, 0.5000, 0.7436)  2 Cr 2.75, 8 Pt 2.75-2.82, 2 Mg 2.82
Pt (0.5000, 0.0000, 0.2564)  2 Cr 2.75, 8 Pt 2.75-2.82, 2 Mg 2.82
Pt (0.5000, 0.0000, 0.7436)  2 Cr 2.75, 8 Pt 2.75-2.82, 2 Mg 2.82
Pt (0.5000, 0.5000, 0.0000)  4 Mg 2.78, 8 Pt 2.82
Pt (0.5000, 0.5000, 0.5000)  8 Pt 2.75, 4 Cr 2.78



No. 12
MgCrPt after structural relaxation, computed with PBE.

Properties
- magnetization (μB per formula unit) = 0.00
- calculated total energy (eV per atom) = -5.941

abc: 5.2444 5.2444 5.2444
angles: 131.08 112.42 87.79
Last column: nearest neighbours and their distance in Å.
Fractional positions:
Mg (0.0000, 0.0000, 0.0000)  4 Pt 2.81, 6 Cr 2.85-2.94, 2 Mg 2.97
Mg (0.5758, 0.0758, 0.5000)  6 Pt 2.78-2.96, 6 Cr 2.93-3.10, 2 Mg 2.97
Cr (0.0459, 0.7098, 0.3360)  1 Cr 1.91
Cr (0.3738, 0.7098, 0.6640)  1 Cr 1.91
Pt (0.1460, 0.3813, 0.7647)  3 Cr 2.55-2.56, 1 Pt 2.74, 3 Mg 2.78-2.81
Pt (0.6166, 0.3813, 0.2353)  3 Cr 2.55-2.56, 1 Pt 2.74, 3 Mg 2.78-2.81